Entry 1:
A relaxed ZrIrSe crystal, computed with GGA-PBE.

The structure belongs to space group F-43m (No. 216); the cell edges are 6.283, 6.283 and 6.283 Å and the angles 90.00°, 90.00° and 90.00°. The inequivalent atoms are Zr at (0.000, 0.000, 0.000), Ir at (0.250, 0.250, 0.750) and Se at (0.000, 0.000, 0.500).

The total energy comes out at -7.51 eV per atom. The energy above the most stable polymorph in this dataset is 226 meV per atom. The value obtained for the formation energy (no corrections) is -0.550 eV per atom.

Entry 2:
A relaxed RbLaSeN2 crystal, computed with GGA-PBE.

The structure belongs to space group P4/mmm (No. 123); the cell edges are 4.460, 4.460 and 6.041 Å and the angles 90.00°, 90.00° and 90.00°. The inequivalent atoms are Rb at (0.000, 0.000, 0.000), La at (0.500, 0.500, 0.500), Se at (0.000, 0.000, 0.500) and N at (0.000, 0.500, 0.000).

The total energy comes out at -3.96 eV per atom. The energy above the most stable polymorph in this dataset is 1034 meV per atom. The value obtained for the formation energy (no corrections) is 1.242 eV per atom.

Entry 3:
A relaxed BaSm2In2Hg2 crystal, computed with GGA-PBE.

The structure belongs to space group R-3m (No. 166, hexagonal axes); the cell edges are 5.0870, 5.0870 and 29.7536 Å and the angles 90.00°, 90.00° and 120.00°. The inequivalent atoms are Ba at (0.0000, 0.0000, 0.0000), Sm at (0.0000, 0.0000, 0.1348), In at (0.0000, 0.0000, 0.2542) and Hg at (0.0000, 0.0000, 0.4371).

The total energy comes out at -2.86 eV per atom. The formation enthalpy at 0 K is -0.373 eV/atom.

Entry 4:
A relaxed SbCl2 crystal, computed with GGA-PBE.

The structure belongs to space group P4/mmm (No. 123); the cell edges are 4.892, 4.892 and 3.332 Å and the angles 90.00°, 90.00° and 90.00°. The inequivalent atoms are Sb at (0.000, 0.000, 0.000) and Cl at (0.000, 0.500, 0.500).

The total energy comes out at -2.97 eV per atom. The energy above the most stable polymorph in this dataset is 342 meV per atom. The value obtained for the formation energy (no corrections) is -0.363 eV per atom.